w.
# NaTa2Os

Crystalline NaTa2Os at its relaxed geometry (PBE, Alexandria via LeMat-Bulk).

Values from the calculation:
- D(E_F): 3.64 states/eV/f.u.
- Symmetry: I-42d

The structure in POSCAR format:
```
NaTa2Os
1.0
-3.774 3.774 2.839
3.774 -3.774 2.839
3.774 3.774 -2.839
Na Ta Os
2 4 2
direct
0.000 0.000 0.000 Na
0.750 0.250 0.500 Na
0.176 0.625 0.051 Ta
0.375 0.426 0.551 Ta
0.574 0.125 0.949 Ta
0.875 0.824 0.449 Ta
0.250 0.750 0.500 Os
0.500 0.500 0.000 Os
```

=====

x.
# NaTa2Os

Crystalline NaTa2Os at its relaxed geometry (PBE, Alexandria via LeMat-Bulk).

Values from the calculation:
- D(E_F): 4.45 states/eV/f.u.
- Symmetry: Fm-3m

The structure in POSCAR format:
```
NaTa2Os
1.0
0.000 3.240 3.240
3.240 0.000 3.240
3.240 3.240 0.000
Na Ta Os
1 2 1
direct
0.000 0.000 0.000 Na
0.250 0.250 0.250 Ta
0.750 0.750 0.750 Ta
0.500 0.500 0.500 Os
```

=====

Here are the energies relative to the best structure, in kJ/mol of atoms: w 38.3; x 0.0.

=====

w.
# NaTa3Os

Crystalline NaTa3Os at its relaxed geometry (PBE, Alexandria via LeMat-Bulk).

Values from the calculation:
- D(E_F): 6.96 states/eV/f.u.
- Symmetry: Pm-3m

The structure in POSCAR format:
```
NaTa3Os
1.0
4.924 0.000 0.000
0.000 4.924 0.000
0.000 0.000 4.924
Na Ta Os
1 3 1
direct
0.000 0.000 0.000 Na
0.000 0.500 0.500 Ta
0.500 0.000 0.500 Ta
0.500 0.500 0.000 Ta
0.500 0.500 0.500 Os
```

=====

x.
# NaTa3Os

Crystalline NaTa3Os at its relaxed geometry (PBE, Alexandria via LeMat-Bulk).

Values from the calculation:
- D(E_F): 7.09 states/eV/f.u.
- Symmetry: Pm-3m

The structure in POSCAR format:
```
NaTa3Os
1.0
4.545 0.000 0.000
0.000 4.545 0.000
0.000 0.000 4.545
Na Ta Os
1 3 1
direct
0.000 0.000 0.000 Na
0.000 0.000 0.500 Ta
0.000 0.500 0.000 Ta
0.500 0.000 0.000 Ta
0.500 0.500 0.500 Os
```

=====

Here are the energies relative to the best structure, in kJ/mol of atoms: w 0.0; x 132.1.

=====

w.
# NaTc3Os

Crystalline NaTc3Os at its relaxed geometry (PBE, Alexandria via LeMat-Bulk).

Values from the calculation:
- D(E_F): 4.57 states/eV/f.u.
- Symmetry: Pm-3m

The structure in POSCAR format:
```
NaTc3Os
1.0
4.337 0.000 0.000
0.000 4.337 0.000
0.000 0.000 4.337
Na Tc Os
1 3 1
direct
0.000 0.000 0.000 Na
0.000 0.000 0.500 Tc
0.000 0.500 0.000 Tc
0.500 0.000 0.000 Tc
0.500 0.500 0.500 Os
```

=====

x.
# NaTc3Os

Crystalline NaTc3Os at its relaxed geometry (PBE, Alexandria via LeMat-Bulk).

Values from the calculation:
- D(E_F): 6.45 states/eV/f.u.
- Symmetry: Pm-3m

The structure in POSCAR format:
```
NaTc3Os
1.0
4.772 0.000 0.000
0.000 4.772 0.000
0.000 0.000 4.772
Na Tc Os
1 3 1
direct
0.000 0.000 0.000 Na
0.000 0.500 0.500 Tc
0.500 0.000 0.500 Tc
0.500 0.500 0.000 Tc
0.500 0.500 0.500 Os
```

=====

Here are the energies relative to the best structure, in kJ/mol of atoms: w 107.5; x 0.0.

=====

w.
# Na2TcOs

Crystalline Na2TcOs at its relaxed geometry (PBE, Alexandria via LeMat-Bulk).

Values from the calculation:
- D(E_F): 4.13 states/eV/f.u.
- Symmetry: Fm-3m

The structure in POSCAR format:
```
Na2TcOs
1.0
0.000 3.305 3.305
3.305 0.000 3.305
3.305 3.305 0.000
Na Tc Os
2 1 1
direct
0.250 0.250 0.250 Na
0.750 0.750 0.750 Na
0.000 0.000 0.000 Tc
0.500 0.500 0.500 Os
```

=====

x.
# Na2TcOs

Crystalline Na2TcOs at its relaxed geometry (PBE, Alexandria via LeMat-Bulk).

Values from the calculation:
- D(E_F): 4.21 states/eV/f.u.
- Symmetry: I-42d

The structure in POSCAR format:
```
Na2TcOs
1.0
-4.126 4.126 2.421
4.126 -4.126 2.421
4.126 4.126 -2.421
Na Tc Os
4 2 2
direct
0.114 0.125 0.489 Na
0.375 0.886 0.011 Na
0.636 0.625 0.511 Na
0.875 0.364 0.989 Na
0.250 0.750 0.500 Tc
0.500 0.500 0.000 Tc
0.000 0.000 0.000 Os
0.750 0.250 0.500 Os
```

=====

Here are the energies relative to the best structure, in kJ/mol of atoms: w 22.8; x 0.0.

=====

w.
# NaTiOs2

Crystalline NaTiOs2 at its relaxed geometry (PBE, Alexandria via LeMat-Bulk).

Values from the calculation:
- D(E_F): 3.72 states/eV/f.u.
- Symmetry: Fm-3m

The structure in POSCAR format:
```
NaTiOs2
1.0
0.000 3.121 3.121
3.121 0.000 3.121
3.121 3.121 0.000
Na Ti Os
1 1 2
direct
0.000 0.000 0.000 Na
0.500 0.500 0.500 Ti
0.250 0.250 0.250 Os
0.750 0.750 0.750 Os
```

=====

x.
# NaTiOs2

Crystalline NaTiOs2 at its relaxed geometry (PBE, Alexandria via LeMat-Bulk).

Values from the calculation:
- D(E_F): 5.25 states/eV/f.u.
- Symmetry: I-42d

The structure in POSCAR format:
```
NaTiOs2
1.0
-2.056 2.056 9.192
2.056 -2.056 9.192
2.056 2.056 -9.192
Na Ti Os
2 2 4
direct
0.000 0.000 0.000 Na
0.750 0.250 0.500 Na
0.250 0.750 0.500 Ti
0.500 0.500 0.000 Ti
0.225 0.625 0.100 Os
0.375 0.475 0.600 Os
0.525 0.125 0.900 Os
0.875 0.775 0.400 Os
```

=====

Here are the energies relative to the best structure, in kJ/mol of atoms: w 0.0; x 42.4.

=====

w.
# Na3TiOs

Crystalline Na3TiOs at its relaxed geometry (PBE, Alexandria via LeMat-Bulk).

Values from the calculation:
- D(E_F): 4.60 states/eV/f.u.
- Symmetry: Pm-3m

The structure in POSCAR format:
```
Na3TiOs
1.0
5.493 0.000 0.000
0.000 5.493 0.000
0.000 0.000 5.493
Na Ti Os
3 1 1
direct
0.000 0.000 0.500 Na
0.000 0.500 0.000 Na
0.500 0.000 0.000 Na
0.000 0.000 0.000 Ti
0.500 0.500 0.500 Os
```

=====

x.
# Na3TiOs

Crystalline Na3TiOs at its relaxed geometry (PBE, Alexandria via LeMat-Bulk).

Values from the calculation:
- D(E_F): 22.24 states/eV/f.u.
- Symmetry: Pm-3m

The structure in POSCAR format:
```
Na3TiOs
1.0
5.303 0.000 0.000
0.000 5.303 0.000
0.000 0.000 5.303
Na Ti Os
3 1 1
direct
0.000 0.000 0.500 Na
0.000 0.500 0.000 Na
0.500 0.000 0.000 Na
0.500 0.500 0.500 Ti
0.000 0.000 0.000 Os
```

=====

Here are the energies relative to the best structure, in kJ/mol of atoms: w 19.9; x 0.0.

=====

w.
# Na2TiOs

Crystalline Na2TiOs at its relaxed geometry (PBE, Alexandria via LeMat-Bulk).

Values from the calculation:
- D(E_F): 3.52 states/eV/f.u.
- Symmetry: Fm-3m

The structure in POSCAR format:
```
Na2TiOs
1.0
0.000 3.308 3.308
3.308 0.000 3.308
3.308 3.308 0.000
Na Ti Os
2 1 1
direct
0.250 0.250 0.250 Na
0.750 0.750 0.750 Na
0.000 0.000 0.000 Ti
0.500 0.500 0.500 Os
```

=====

x.
# Na2TiOs

Crystalline Na2TiOs at its relaxed geometry (PBE, Alexandria via LeMat-Bulk).

Values from the calculation:
- D(E_F): 2.22 states/eV/f.u.
- Symmetry: I-42d

The structure in POSCAR format:
```
Na2TiOs
1.0
-1.827 1.827 11.300
1.827 -1.827 11.300
1.827 1.827 -11.300
Na Ti Os
4 2 2
direct
0.115 0.625 0.990 Na
0.375 0.365 0.490 Na
0.635 0.125 0.010 Na
0.875 0.885 0.510 Na
0.250 0.750 0.500 Ti
0.500 0.500 0.000 Ti
0.000 0.000 0.000 Os
0.750 0.250 0.500 Os
```

=====

Here are the energies relative to the best structure, in kJ/mol of atoms: w 67.1; x 0.0.

=====

w.
# NaTl2Os

Crystalline NaTl2Os at its relaxed geometry (PBE, Alexandria via LeMat-Bulk).

Values from the calculation:
- D(E_F): 2.54 states/eV/f.u.
- Symmetry: I-42d

The structure in POSCAR format:
```
NaTl2Os
1.0
-2.798 2.798 8.397
2.798 -2.798 8.397
2.798 2.798 -8.397
Na Tl Os
2 4 2
direct
0.000 0.000 0.000 Na
0.750 0.250 0.500 Na
0.238 0.625 0.113 Tl
0.375 0.488 0.613 Tl
0.512 0.125 0.887 Tl
0.875 0.762 0.387 Tl
0.250 0.750 0.500 Os
0.500 0.500 0.000 Os
```

=====

x.
# NaTl2Os

Crystalline NaTl2Os at its relaxed geometry (PBE, Alexandria via LeMat-Bulk).

Values from the calculation:
- D(E_F): 2.10 states/eV/f.u.
- Symmetry: Fm-3m

The structure in POSCAR format:
```
NaTl2Os
1.0
0.000 3.445 3.445
3.445 0.000 3.445
3.445 3.445 0.000
Na Tl Os
1 2 1
direct
0.000 0.000 0.000 Na
0.250 0.250 0.250 Tl
0.750 0.750 0.750 Tl
0.500 0.500 0.500 Os
```

=====

Here are the energies relative to the best structure, in kJ/mol of atoms: w 32.2; x 0.0.

=====

w.
# NaTl3Os

Crystalline NaTl3Os at its relaxed geometry (PBE, Alexandria via LeMat-Bulk).

Values from the calculation:
- D(E_F): 5.39 states/eV/f.u.
- Symmetry: Pm-3m

The structure in POSCAR format:
```
NaTl3Os
1.0
5.363 0.000 0.000
0.000 5.363 0.000
0.000 0.000 5.363
Na Tl Os
1 3 1
direct
0.000 0.000 0.000 Na
0.000 0.000 0.500 Tl
0.000 0.500 0.000 Tl
0.500 0.000 0.000 Tl
0.500 0.500 0.500 Os
```

=====

x.
# NaTl3Os

Crystalline NaTl3Os at its relaxed geometry (PBE, Alexandria via LeMat-Bulk).

Values from the calculation:
- D(E_F): 1.33 states/eV/f.u.
- Symmetry: Pm-3m

The structure in POSCAR format:
```
NaTl3Os
1.0
5.336 0.000 0.000
0.000 5.336 0.000
0.000 0.000 5.336
Na Tl Os
1 3 1
direct
0.000 0.000 0.000 Na
0.000 0.500 0.500 Tl
0.500 0.000 0.500 Tl
0.500 0.500 0.000 Tl
0.500 0.500 0.500 Os
```

=====

Here are the energies relative to the best structure, in kJ/mol of atoms: w 117.9; x 0.0.

=====

w.
# Na2VOs

Crystalline Na2VOs at its relaxed geometry (PBE, Alexandria via LeMat-Bulk).

Values from the calculation:
- D(E_F): 2.44 states/eV/f.u.
- Symmetry: I-42d

The structure in POSCAR format:
```
Na2VOs
1.0
-1.798 1.798 11.031
1.798 -1.798 11.031
1.798 1.798 -11.031
Na V Os
4 2 2
direct
0.120 0.625 0.995 Na
0.375 0.370 0.495 Na
0.630 0.125 0.005 Na
0.875 0.880 0.505 Na
0.250 0.750 0.500 V
0.500 0.500 0.000 V
0.000 0.000 0.000 Os
0.750 0.250 0.500 Os
```

=====

x.
# Na2VOs

Crystalline Na2VOs at its relaxed geometry (PBE, Alexandria via LeMat-Bulk).

Values from the calculation:
- D(E_F): 6.66 states/eV/f.u.
- Symmetry: Fm-3m

The structure in POSCAR format:
```
Na2VOs
1.0
0.000 3.360 3.360
3.360 0.000 3.360
3.360 3.360 0.000
Na V Os
2 1 1
direct
0.250 0.250 0.250 Na
0.750 0.750 0.750 Na
0.000 0.000 0.000 V
0.500 0.500 0.500 Os
```

=====

Here are the energies relative to the best structure, in kJ/mol of atoms: w 0.0; x 67.1.

=====

w.
# NaOsW2

Crystalline NaOsW2 at its relaxed geometry (PBE, Alexandria via LeMat-Bulk).

Values from the calculation:
- D(E_F): 2.69 states/eV/f.u.
- Symmetry: Fm-3m

The structure in POSCAR format:
```
NaOsW2
1.0
0.000 3.160 3.160
3.160 0.000 3.160
3.160 3.160 0.000
Na Os W
1 1 2
direct
0.000 0.000 0.000 Na
0.500 0.500 0.500 Os
0.250 0.250 0.250 W
0.750 0.750 0.750 W
```

=====

x.
# NaOsW2

Crystalline NaOsW2 at its relaxed geometry (PBE, Alexandria via LeMat-Bulk).

Values from the calculation:
- D(E_F): 4.61 states/eV/f.u.
- Symmetry: I-42d

The structure in POSCAR format:
```
NaOsW2
1.0
-3.751 3.751 2.697
3.751 -3.751 2.697
3.751 3.751 -2.697
Na Os W
2 2 4
direct
0.000 0.000 0.000 Na
0.750 0.250 0.500 Na
0.250 0.750 0.500 Os
0.500 0.500 0.000 Os
0.179 0.125 0.554 W
0.375 0.821 0.946 W
0.571 0.625 0.446 W
0.875 0.429 0.054 W
```

=====

Here are the energies relative to the best structure, in kJ/mol of atoms: w 0.0; x 32.4.

=====

w.
# NaY3Os

Crystalline NaY3Os at its relaxed geometry (PBE, Alexandria via LeMat-Bulk).

Values from the calculation:
- D(E_F): 9.22 states/eV/f.u.
- Symmetry: Pm-3m

The structure in POSCAR format:
```
NaY3Os
1.0
5.193 0.000 0.000
0.000 5.193 0.000
0.000 0.000 5.193
Na Y Os
1 3 1
direct
0.000 0.000 0.000 Na
0.000 0.000 0.500 Y
0.000 0.500 0.000 Y
0.500 0.000 0.000 Y
0.500 0.500 0.500 Os
```

=====

x.
# NaY3Os

Crystalline NaY3Os at its relaxed geometry (PBE, Alexandria via LeMat-Bulk).

Values from the calculation:
- D(E_F): 4.00 states/eV/f.u.
- Symmetry: Pm-3m

The structure in POSCAR format:
```
NaY3Os
1.0
5.476 0.000 0.000
0.000 5.476 0.000
0.000 0.000 5.476
Na Y Os
1 3 1
direct
0.000 0.000 0.000 Na
0.000 0.500 0.500 Y
0.500 0.000 0.500 Y
0.500 0.500 0.000 Y
0.500 0.500 0.500 Os
```

=====

Here are the energies relative to the best structure, in kJ/mol of atoms: w 152.3; x 0.0.